# SbAu8

Crystalline SbAu8 at its relaxed geometry (GGA-PBE, Alexandria via LeMat-Bulk).

Its distance to the lowest polymorph of the same formula is 0.023 eV/atom. The density of states at the Fermi level is 0.249 states/eV/atom.

It has space group I4/mmm (No. 139), with a = 10.231 Å, b = 10.231 Å, c = 3.269 Å, α = 90.00°, β = 90.00° and γ = 90.00°. The asymmetric unit holds Sb at (0.000, 0.000, 0.000), Au at (0.000, 0.336, 0.000) and Au at (0.170, 0.170, 0.500).

***

# SbAu3

Crystalline SbAu3 at its relaxed geometry (GGA-PBE, Alexandria via LeMat-Bulk).

The density of states at the Fermi level is 0.281 states/eV/atom.

It has space group Imm2 (No. 44), with a = 3.572 Å, b = 9.345 Å, c = 4.837 Å, α = 90.00°, β = 90.00° and γ = 90.00°. The asymmetric unit holds Sb at (0.000, 0.000, 0.000), Au at (0.000, 0.242, 0.613) and Au at (0.000, 0.500, 0.991).

***

Number 1: magnetic moment 0.000 μB/atom, ΔE_f (raw) 0.06 eV/atom. Number 2: magnetic moment 0.000 μB/atom, ΔE_f (raw) 0.06 eV/atom.